Entry 1:
# Hf2MoSe

An optimized crystal structure of Hf2MoSe (PBE-GGA, Alexandria).

```
data_Hf2MoSe
_chemical_formula_sum 'Hf8 Mo4 Se4'
_cell_length_a 5.7755
_cell_length_b 5.7755
_cell_length_c 13.0075
_cell_angle_alpha 90.00
_cell_angle_beta 90.00
_cell_angle_gamma 90.00
_space_group_name_H-M_alt 'I -4 2 d'
_space_group_IT_number 122
_space_group_name_Hall 'I -4 2bw'
loop_
_atom_site_label
_atom_site_type_symbol
_atom_site_fract_x
_atom_site_fract_y
_atom_site_fract_z
Hf1 Hf 0.2249 0.2500 0.1250
Mo1 Mo 0.0000 0.0000 0.0000
Se1 Se 0.0000 0.0000 0.5000
```

## Properties
Density of states at the Fermi level, states/eV/f.u.: 3.03
Total magnetization, μB per formula unit: 0.00
Formation energy without anion corrections, eV/atom: 0.715


Entry 2:
# LiTb2ScTe5

An optimized crystal structure of LiTb2ScTe5 (PBE-GGA, Alexandria).

```
data_LiTb2ScTe5
_chemical_formula_sum 'Li4 Tb8 Sc4 Te20'
_cell_length_a 4.2680
_cell_length_b 18.2963
_cell_length_c 12.9436
_cell_angle_alpha 90.00
_cell_angle_beta 90.00
_cell_angle_gamma 90.00
_space_group_name_H-M_alt 'C m c 21'
_space_group_IT_number 36
loop_
_space_group_symop_operation_xyz
'x,y,z'
'-x,-y,z+1/2'
'-x,y,z'
'x,-y,z+1/2'
'x+1/2,y+1/2,z'
'-x+1/2,-y+1/2,z+1/2'
'-x+1/2,y+1/2,z'
'x+1/2,-y+1/2,z+1/2'
loop_
_atom_site_label
_atom_site_type_symbol
_atom_site_fract_x
_atom_site_fract_y
_atom_site_fract_z
Li1 Li 0.0000 0.0649 0.0000
Tb1 Tb 0.0000 0.3715 0.8404
Tb2 Tb 0.0000 0.3935 0.2251
Sc1 Sc 0.0000 0.3057 0.5517
Te1 Te 0.0000 0.0024 0.3234
Te2 Te 0.0000 0.1438 0.5389
Te3 Te 0.0000 0.1930 0.8885
Te4 Te 0.0000 0.2185 0.2043
Te5 Te 0.0000 0.4518 0.6112
```

## Properties
Total magnetization, μB per formula unit: 0.00
Formation energy without anion corrections, eV/atom: -1.216


Entry 3:
# NbB4Mo2

An optimized crystal structure of NbB4Mo2 (PBE-GGA, Alexandria).

```
data_NbB4Mo2
_chemical_formula_sum 'Nb2 B8 Mo4'
_cell_length_a 3.1052
_cell_length_b 3.2185
_cell_length_c 13.9911
_cell_angle_alpha 90.00
_cell_angle_beta 90.00
_cell_angle_gamma 90.00
_space_group_name_H-M_alt 'I m m m'
_space_group_IT_number 71
_space_group_name_Hall '-I 2 2'
loop_
_atom_site_label
_atom_site_type_symbol
_atom_site_fract_x
_atom_site_fract_y
_atom_site_fract_z
Nb1 Nb 0.0000 0.0000 0.0000
B1 B 0.0000 0.0000 0.4340
B2 B 0.0000 0.5000 0.1350
Mo1 Mo 0.0000 0.5000 0.3145
```

## Properties
Density of states at the Fermi level, states/eV/f.u.: 2.83
Total magnetization, μB per formula unit: 0.00
DFT formation energy, eV per atom: -0.588


Entry 4:
# BaNaSeCl

An optimized crystal structure of BaNaSeCl (PBE-GGA, Alexandria).

```
data_BaNaSeCl
_chemical_formula_sum 'Ba6 Na6 Se6 Cl6'
_cell_length_a 4.9275
_cell_length_b 4.9275
_cell_length_c 36.7917
_cell_angle_alpha 90.00
_cell_angle_beta 90.00
_cell_angle_gamma 120.00
_space_group_name_H-M_alt 'R -3 m'
_space_group_IT_number 166
_space_group_name_Hall '-R 3 2"'
loop_
_atom_site_label
_atom_site_type_symbol
_atom_site_fract_x
_atom_site_fract_y
_atom_site_fract_z
Ba1 Ba 0.0000 0.0000 0.1041
Na1 Na 0.0000 0.0000 0.3067
Se1 Se 0.0000 0.0000 0.3870
Cl1 Cl 0.0000 0.0000 0.1958
```

## Properties
Density of states at the Fermi level, states/eV/f.u.: 0.00
Total magnetization, μB per formula unit: 0.00
Formation energy without anion corrections, eV/atom: -1.851


Entry 5:
# Ac2ZnIrAu

An optimized crystal structure of Ac2ZnIrAu (PBE-GGA, Alexandria).

```
data_Ac2ZnIrAu
_chemical_formula_sum 'Ac4 Zn2 Ir2 Au2'
_cell_length_a 7.9971
_cell_length_b 4.4160
_cell_length_c 8.1498
_cell_angle_alpha 90.00
_cell_angle_beta 110.66
_cell_angle_gamma 90.00
_space_group_name_H-M_alt 'P 1 21/m 1'
_space_group_IT_number 11
loop_
_space_group_symop_operation_xyz
'x,y,z'
'-x,-y,-z'
'-x,y+1/2,-z'
'x,-y+1/2,z'
loop_
_atom_site_label
_atom_site_type_symbol
_atom_site_fract_x
_atom_site_fract_y
_atom_site_fract_z
Ac1 Ac 0.1376 0.2500 0.3617
Ac2 Ac 0.2776 0.2500 0.9557
Zn1 Zn 0.4483 0.7500 0.3227
Ir1 Ir 0.1251 0.7500 0.1062
Au1 Au 0.3297 0.7500 0.6714
```

## Properties
Density of states at the Fermi level, states/eV/f.u.: 2.00
Total magnetization, μB per formula unit: 0.00
DFT formation energy, eV per atom: -0.630


Entry 6:
# HoPaS

An optimized crystal structure of HoPaS (PBE-GGA, Alexandria).

```
data_HoPaS
_chemical_formula_sum 'Ho4 Pa4 S4'
_cell_length_a 3.5287
_cell_length_b 6.1072
_cell_length_c 13.6857
_cell_angle_alpha 90.00
_cell_angle_beta 90.00
_cell_angle_gamma 90.00
_space_group_name_H-M_alt 'C m c 21'
_space_group_IT_number 36
loop_
_space_group_symop_operation_xyz
'x,y,z'
'-x,-y,z+1/2'
'-x,y,z'
'x,-y,z+1/2'
'x+1/2,y+1/2,z'
'-x+1/2,-y+1/2,z+1/2'
'-x+1/2,y+1/2,z'
'x+1/2,-y+1/2,z+1/2'
loop_
_atom_site_label
_atom_site_type_symbol
_atom_site_fract_x
_atom_site_fract_y
_atom_site_fract_z
Ho1 Ho 0.0000 0.1677 0.0000
Pa1 Pa 0.0000 0.1676 0.7190
S1 S 0.0000 0.4988 0.3638
```

## Properties
Density of states at the Fermi level, states/eV/f.u.: 5.65
Total magnetization, μB per formula unit: 1.10
Formation energy without anion corrections, eV/atom: -0.832


Entry 7:
# PaHg2F6

An optimized crystal structure of PaHg2F6 (PBE-GGA, Alexandria).

```
data_PaHg2F6
_chemical_formula_sum 'Pa1 Hg2 F6'
_cell_length_a 5.7295
_cell_length_b 5.7295
_cell_length_c 6.5330
_cell_angle_alpha 90.00
_cell_angle_beta 90.00
_cell_angle_gamma 120.00
_space_group_name_H-M_alt 'P -3 1 m'
_space_group_IT_number 162
_space_group_name_Hall '-P 3 2'
loop_
_atom_site_label
_atom_site_type_symbol
_atom_site_fract_x
_atom_site_fract_y
_atom_site_fract_z
Pa1 Pa 0.0000 0.0000 0.0000
Hg1 Hg 0.3333 0.6667 0.5000
F1 F 0.0000 0.3001 0.8131
```

## Properties
Density of states at the Fermi level, states/eV/f.u.: 2.15
Total magnetization, μB per formula unit: 0.00
Formation energy without anion corrections, eV/atom: -2.749


Entry 8:
# VCrSe3

An optimized crystal structure of VCrSe3 (PBE-GGA, Alexandria).

```
data_VCrSe3
_chemical_formula_sum 'V2 Cr2 Se6'
_cell_length_a 6.5552
_cell_length_b 3.5126
_cell_length_c 8.6970
_cell_angle_alpha 90.00
_cell_angle_beta 105.50
_cell_angle_gamma 90.00
_space_group_name_H-M_alt 'P 1 21/m 1'
_space_group_IT_number 11
loop_
_space_group_symop_operation_xyz
'x,y,z'
'-x,-y,-z'
'-x,y+1/2,-z'
'x,-y+1/2,z'
loop_
_atom_site_label
_atom_site_type_symbol
_atom_site_fract_x
_atom_site_fract_y
_atom_site_fract_z
V1 V 0.1163 0.2500 0.1389
Cr1 Cr 0.2699 0.2500 0.5086
Se1 Se 0.0250 0.7500 0.3359
Se2 Se 0.2563 0.7500 0.9939
Se3 Se 0.4931 0.7500 0.6734
```

## Properties
Density of states at the Fermi level, states/eV/f.u.: 2.89
Total magnetization, μB per formula unit: 2.40
Formation energy without anion corrections, eV/atom: -0.605


Entry 9:
# Y3TaAu

An optimized crystal structure of Y3TaAu (PBE-GGA, Alexandria).

```
data_Y3TaAu
_chemical_formula_sum 'Y3 Ta1 Au1'
_cell_length_a 5.4150
_cell_length_b 5.4150
_cell_length_c 5.4150
_cell_angle_alpha 90.00
_cell_angle_beta 90.00
_cell_angle_gamma 90.00
_space_group_name_H-M_alt 'P m -3 m'
_space_group_IT_number 221
_space_group_name_Hall '-P 4 2 3'
loop_
_atom_site_label
_atom_site_type_symbol
_atom_site_fract_x
_atom_site_fract_y
_atom_site_fract_z
Y1 Y 0.0000 0.0000 0.5000
Ta1 Ta 0.0000 0.0000 0.0000
Au1 Au 0.5000 0.5000 0.5000
```

## Properties
Density of states at the Fermi level, states/eV/f.u.: 4.55
Total magnetization, μB per formula unit: 0.00
DFT formation energy, eV per atom: 0.608


Entry 10:
# ScBiSb2Te

An optimized crystal structure of ScBiSb2Te (PBE-GGA, Alexandria).

```
data_ScBiSb2Te
_chemical_formula_sum 'Sc1 Bi1 Sb2 Te1'
_cell_length_a 5.5320
_cell_length_b 5.5320
_cell_length_c 5.4287
_cell_angle_alpha 90.00
_cell_angle_beta 90.00
_cell_angle_gamma 90.00
_space_group_name_H-M_alt 'P 4/m m m'
_space_group_IT_number 123
_space_group_name_Hall '-P 4 2'
loop_
_atom_site_label
_atom_site_type_symbol
_atom_site_fract_x
_atom_site_fract_y
_atom_site_fract_z
Sc1 Sc 0.0000 0.0000 0.0000
Bi1 Bi 0.5000 0.5000 0.5000
Sb1 Sb 0.0000 0.5000 0.0000
Te1 Te 0.0000 0.0000 0.5000
```

## Properties
Density of states at the Fermi level, states/eV/f.u.: 5.29
Total magnetization, μB per formula unit: 0.00
Formation energy without anion corrections, eV/atom: 0.132


Entry 11:
# CdSnI3

An optimized crystal structure of CdSnI3 (PBE-GGA, Alexandria).

```
data_CdSnI3
_chemical_formula_sum 'Cd4 Sn4 I12'
_cell_length_a 15.5708
_cell_length_b 4.9193
_cell_length_c 12.3911
_cell_angle_alpha 90.00
_cell_angle_beta 90.34
_cell_angle_gamma 90.00
_space_group_name_H-M_alt 'C 1 2/m 1'
_space_group_IT_number 12
loop_
_space_group_symop_operation_xyz
'x,y,z'
'-x,-y,-z'
'-x,y,-z'
'x,-y,z'
'x+1/2,y+1/2,z'
'-x+1/2,-y+1/2,-z'
'-x+1/2,y+1/2,-z'
'x+1/2,-y+1/2,z'
loop_
_atom_site_label
_atom_site_type_symbol
_atom_site_fract_x
_atom_site_fract_y
_atom_site_fract_z
Cd1 Cd 0.0367 0.0000 0.4011
Sn1 Sn 0.1874 0.5000 0.8574
I1 I 0.0042 0.5000 0.7451
I2 I 0.1330 0.0000 0.0047
I3 I 0.2218 0.0000 0.3579
```

## Properties
Total magnetization, μB per formula unit: 0.00
Formation energy without anion corrections, eV/atom: -0.391